The following is a meta-GGA SCAN calculation of a PBEsol-optimized structure of HfHgB3, from Alexandria.

Summary:
**Formation enthalpy at 0 K**: 1.79 eV/atom
**Total moment**: 0.000 μB per cell

abc: 4.417 4.417 4.417
angles: 90.00 90.00 90.00
Space group Pm-3m (No. 221)
Asymmetric unit:
1 Hf 0.000 0.000 0.000 [1 per cell]
2 Hg 0.500 0.500 0.500 [1 per cell]
3 B 0.000 0.000 0.500 [3 per cell]